1.
Compound: La2Ga3Ag
Source: Alexandria
Functional: PBE-GGA
Structure: optimized geometry

Properties
energy of formation: -0.59 eV/atom
volume: 290.4 Å³/cell

Cell: 9.1317 8.8747 6.0834 Å, 72.55 67.99 39.46°
Closest atoms and distances in Å follow each position.
Positions (direct):
1 La 0.2392 0.7608 0.7608  2 Ag 3.29, 10 Ga 3.30-3.32
2 La 0.2500 0.2500 0.2500  4 Ag 3.30, 8 Ga 3.33-3.34
3 La 0.7500 0.7500 0.7500  4 Ag 3.30, 8 Ga 3.33-3.34
4 La 0.7608 0.2392 0.2392  2 Ag 3.29, 10 Ga 3.30-3.32
5 Ga 0.1745 0.6611 0.3389  2 Ga 2.55-2.60, 1 Ag 2.71
6 Ga 0.3378 0.3378 0.6622  2 Ga 2.55, 1 Ag 2.68
7 Ga 0.3389 0.8255 0.1745  2 Ga 2.55-2.60, 1 Ag 2.71
8 Ga 0.6611 0.1745 0.8255  2 Ga 2.55-2.60, 1 Ag 2.71
9 Ga 0.6622 0.6622 0.3378  2 Ga 2.55, 1 Ag 2.68
10 Ga 0.8255 0.3389 0.6611  2 Ga 2.55-2.60, 1 Ag 2.71
11 Ag 0.1687 0.1687 0.8313  3 Ga 2.68-2.71
12 Ag 0.8313 0.8313 0.1687  3 Ga 2.68-2.71

2.
Compound: La12GaAg6
Source: Alexandria
Functional: PBE-GGA
Structure: optimized geometry

Properties
energy of formation: -0.11 eV/atom
volume: 554.8 Å³/cell

Cell: 8.2184 8.2184 8.2184 Å, 89.00 89.00 89.00°
Closest atoms and distances in Å follow each position.
Positions (direct):
1 La 0.0435 0.3130 0.9477  4 La 3.27-3.66, 3 Ag 3.29-3.42
2 La 0.0523 0.9565 0.6870  4 La 3.27-3.66, 3 Ag 3.29-3.42
3 La 0.1311 0.3594 0.4891  2 La 3.14-3.38, 4 Ag 3.20-3.46, 1 Ga 3.27
4 La 0.3130 0.9477 0.0435  4 La 3.27-3.66, 3 Ag 3.29-3.42
5 La 0.3594 0.4891 0.1311  2 La 3.14-3.38, 4 Ag 3.20-3.46, 1 Ga 3.27
6 La 0.4891 0.1311 0.3594  2 La 3.14-3.38, 4 Ag 3.20-3.46, 1 Ga 3.27
7 La 0.5109 0.8689 0.6406  2 La 3.14-3.38, 4 Ag 3.20-3.46, 1 Ga 3.27
8 La 0.6406 0.5109 0.8689  2 La 3.14-3.38, 4 Ag 3.20-3.46, 1 Ga 3.27
9 La 0.6870 0.0523 0.9565  4 La 3.27-3.66, 3 Ag 3.29-3.42
10 La 0.8689 0.6406 0.5109  2 La 3.14-3.38, 4 Ag 3.20-3.46, 1 Ga 3.27
11 La 0.9477 0.0435 0.3130  4 La 3.27-3.66, 3 Ag 3.29-3.42
12 La 0.9565 0.6870 0.0523  4 La 3.27-3.66, 3 Ag 3.29-3.42
13 Ga 0.5000 0.5000 0.5000  6 Ag 3.09, 6 La 3.27
14 Ag 0.2404 0.7536 0.3906  1 Ga 3.09, 7 La 3.20-3.46, 2 Ag 3.24
15 Ag 0.2464 0.6094 0.7596  1 Ga 3.09, 7 La 3.20-3.46, 2 Ag 3.24
16 Ag 0.3906 0.2404 0.7536  1 Ga 3.09, 7 La 3.20-3.46, 2 Ag 3.24
17 Ag 0.6094 0.7596 0.2464  1 Ga 3.09, 7 La 3.20-3.46, 2 Ag 3.24
18 Ag 0.7536 0.3906 0.2404  1 Ga 3.09, 7 La 3.20-3.46, 2 Ag 3.24
19 Ag 0.7596 0.2464 0.6094  1 Ga 3.09, 7 La 3.20-3.46, 2 Ag 3.24

3.
Compound: La3Ga3Ag2
Source: Alexandria
Functional: PBE-GGA
Structure: optimized geometry

Properties
energy of formation: -0.51 eV/atom
volume: 400.3 Å³/cell

Cell: 5.9261 5.9261 15.6473 Å, 90.00 90.00 133.25°
Closest atoms and distances in Å follow each position.
Positions (direct):
1 La 0.1070 0.8930 0.6072  4 Ag 3.20-3.36, 7 Ga 3.29-3.45
2 La 0.1070 0.8930 0.8928  4 Ag 3.20-3.36, 7 Ga 3.29-3.45
3 La 0.3784 0.6216 0.7500  5 Ga 3.15-3.29, 4 Ag 3.43
4 La 0.6216 0.3784 0.2500  5 Ga 3.15-3.29, 4 Ag 3.43
5 La 0.8930 0.1070 0.1072  4 Ag 3.20-3.36, 7 Ga 3.29-3.45
6 La 0.8930 0.1070 0.3928  4 Ag 3.20-3.36, 7 Ga 3.29-3.45
7 Ga 0.3323 0.6677 0.2500  2 Ag 2.80
8 Ga 0.3967 0.6033 0.5398  1 Ga 2.57, 2 Ag 2.71
9 Ga 0.3967 0.6033 0.9602  1 Ga 2.57, 2 Ag 2.71
10 Ga 0.6033 0.3967 0.0398  1 Ga 2.57, 2 Ag 2.71
11 Ga 0.6033 0.3967 0.4602  1 Ga 2.57, 2 Ag 2.71
12 Ga 0.6677 0.3323 0.7500  2 Ag 2.80
13 Ag 0.1943 0.8057 0.0987  3 Ga 2.71-2.80
14 Ag 0.1943 0.8057 0.4013  3 Ga 2.71-2.80
15 Ag 0.8057 0.1943 0.5987  3 Ga 2.71-2.80
16 Ag 0.8057 0.1943 0.9013  3 Ga 2.71-2.80

4.
Compound: La5GaAg4
Source: Alexandria
Functional: PBE-GGA
Structure: optimized geometry

Properties
energy of formation: -0.32 eV/atom
volume: 277.2 Å³/cell

Cell: 3.8006 3.8006 19.1875 Å, 90.00 90.00 90.00°
Closest atoms and distances in Å follow each position.
Positions (direct):
1 La 0.0000 0.0000 0.0000  8 Ag 3.30
2 La 0.0000 0.0000 0.2017  8 Ag 3.30-3.32
3 La 0.0000 0.0000 0.4044  4 Ga 3.25, 4 Ag 3.34
4 La 0.0000 0.0000 0.5956  4 Ga 3.25, 4 Ag 3.34
5 La 0.0000 0.0000 0.7983  8 Ag 3.30-3.32
6 Ga 0.5000 0.5000 0.5000  8 La 3.25
7 Ag 0.5000 0.5000 0.1002  8 La 3.30-3.32
8 Ag 0.5000 0.5000 0.3011  8 La 3.30-3.34
9 Ag 0.5000 0.5000 0.6989  8 La 3.30-3.34
10 Ag 0.5000 0.5000 0.8998  8 La 3.30-3.32

5.
Compound: La2GaAg
Source: Alexandria
Functional: PBE-GGA
Structure: optimized geometry

Properties
energy of formation: 0.27 eV/atom
volume: 332.7 Å³/cell

Cell: 10.1147 10.1147 10.1147 Å, 145.37 145.37 49.79°
Closest atoms and distances in Å follow each position.
Positions (direct):
1 La 0.1162 0.6250 0.9912  2 Ga 3.10, 2 Ag 3.16
2 La 0.3750 0.3662 0.4912  2 Ga 3.10, 2 Ag 3.16
3 La 0.6338 0.1250 0.0088  2 Ga 3.10, 2 Ag 3.16
4 La 0.8750 0.8838 0.5088  2 Ga 3.10, 2 Ag 3.16
5 Ga 0.0000 0.0000 0.0000  4 La 3.10
6 Ga 0.7500 0.2500 0.5000  4 La 3.10
7 Ag 0.2500 0.7500 0.5000  4 La 3.16
8 Ag 0.5000 0.5000 0.0000  4 La 3.16

6.
Compound: La2GaAg
Source: Alexandria
Functional: PBE-GGA
Structure: optimized geometry

Properties
energy of formation: 0.16 eV/atom
volume: 117.2 Å³/cell

Cell: 11.7137 11.7137 11.7137 Å, 16.81 16.81 16.81°
Closest atoms and distances in Å follow each position.
Positions (direct):
1 La 0.0921 0.0921 0.0921  1 Ga 3.19, 3 Ag 3.25, 6 La 3.42
2 La 0.9079 0.9079 0.9079  1 Ga 3.19, 3 Ag 3.25, 6 La 3.42
3 Ga 0.0000 0.0000 0.0000  2 La 3.19, 6 Ga 3.42
4 Ag 0.5000 0.5000 0.5000  6 La 3.25, 6 Ag 3.42

7.
Compound: La5GaAg2
Source: Alexandria
Functional: PBE-GGA
Structure: optimized geometry

Properties
energy of formation: -0.25 eV/atom
volume: 483.1 Å³/cell

Cell: 9.6075 9.6075 9.6075 Å, 131.78 131.78 70.57°
Closest atoms and distances in Å follow each position.
Positions (direct):
1 La 0.0000 0.0000 0.0000  4 Ag 3.09
2 La 0.0061 0.5061 0.8289  2 Ga 3.27, 3 Ag 3.39, 2 La 3.45-3.65
3 La 0.1773 0.0061 0.5000  2 Ga 3.27, 3 Ag 3.39, 2 La 3.45-3.65
4 La 0.3227 0.8227 0.8289  2 Ga 3.27, 3 Ag 3.39, 2 La 3.45-3.65
5 La 0.4939 0.3227 0.5000  2 Ga 3.27, 3 Ag 3.39, 2 La 3.45-3.65
6 La 0.5000 0.5000 0.0000  4 Ag 3.09
7 La 0.5061 0.6773 0.5000  2 Ga 3.27, 3 Ag 3.39, 2 La 3.45-3.65
8 La 0.6773 0.1773 0.1711  2 Ga 3.27, 3 Ag 3.39, 2 La 3.45-3.65
9 La 0.8227 0.9939 0.5000  2 Ga 3.27, 3 Ag 3.39, 2 La 3.45-3.65
10 La 0.9939 0.4939 0.1711  2 Ga 3.27, 3 Ag 3.39, 2 La 3.45-3.65
11 Ga 0.2500 0.2500 0.0000  8 La 3.27
12 Ga 0.7500 0.7500 0.0000  8 La 3.27
13 Ag 0.1270 0.3730 0.5000  1 Ag 2.82, 2 La 3.09
14 Ag 0.3730 0.8730 0.2460  1 Ag 2.82, 2 La 3.09
15 Ag 0.6270 0.1270 0.7540  1 Ag 2.82, 2 La 3.09
16 Ag 0.8730 0.6270 0.5000  1 Ag 2.82, 2 La 3.09

8.
Compound: La6Ga2Ag
Source: Alexandria
Functional: PBE-GGA
Structure: optimized geometry

Properties
energy of formation: -0.30 eV/atom
volume: 563.1 Å³/cell
E above lowest polymorph: 0.000 eV/atom

Cell: 9.0177 9.0177 9.0177 Å, 112.04 109.99 106.43°
Closest atoms and distances in Å follow each position.
Positions (direct):
1 La 0.0357 0.8280 0.2077  3 Ga 3.10-3.18
2 La 0.2549 0.5595 0.3046  2 Ga 3.20-3.35, 2 Ag 3.30-3.38
3 La 0.2549 0.9502 0.6954  2 Ga 3.20-3.35, 2 Ag 3.30-3.38
4 La 0.2695 0.3261 0.5955  3 Ga 3.24-3.35, 1 Ag 3.29, 1 La 3.51
5 La 0.2695 0.6739 0.9434  3 Ga 3.24-3.35, 1 Ag 3.29, 1 La 3.51
6 La 0.3797 0.1720 0.2077  3 Ga 3.10-3.18
7 La 0.6203 0.8280 0.7923  3 Ga 3.10-3.18
8 La 0.7305 0.3261 0.0566  3 Ga 3.24-3.35, 1 Ag 3.29, 1 La 3.51
9 La 0.7305 0.6739 0.4045  3 Ga 3.24-3.35, 1 Ag 3.29, 1 La 3.51
10 La 0.7451 0.0498 0.3046  2 Ga 3.20-3.35, 2 Ag 3.30-3.38
11 La 0.7451 0.4405 0.6954  2 Ga 3.20-3.35, 2 Ag 3.30-3.38
12 La 0.9643 0.1720 0.7923  3 Ga 3.10-3.18
13 Ga 0.0000 0.1422 0.1422  1 Ga 2.87, 6 La 3.18-3.20
14 Ga 0.0000 0.8578 0.8578  1 Ga 2.87, 6 La 3.18-3.20
15 Ga 0.3791 0.3791 0.0000  1 Ga 2.61
16 Ga 0.6209 0.6209 0.0000  1 Ga 2.61
17 Ag 0.0000 0.5000 0.5000  8 La 3.29-3.38, 2 Ga 3.61
18 Ag 0.5000 0.0000 0.5000  8 La 3.30-3.55

9.
Compound: La2Ga5Ag3
Source: Alexandria
Functional: PBE-GGA
Structure: optimized geometry

Properties
energy of formation: -0.46 eV/atom
volume: 424.8 Å³/cell

Cell: 8.8919 8.8919 8.8919 Å, 106.44 87.85 138.99°
Closest atoms and distances in Å follow each position.
Positions (direct):
1 La 0.1285 0.2351 0.3636  10 Ga 3.34-3.51, 7 Ag 3.39-3.68
2 La 0.3715 0.7351 0.1066  10 Ga 3.34-3.51, 7 Ag 3.39-3.68
3 La 0.6285 0.2649 0.8934  10 Ga 3.34-3.51, 7 Ag 3.39-3.68
4 La 0.8715 0.7649 0.6364  10 Ga 3.34-3.51, 7 Ag 3.39-3.68
5 Ga 0.0269 0.7500 0.2769  2 Ga 2.64, 3 Ag 2.64-2.86
6 Ga 0.1151 0.6520 0.7671  3 Ag 2.55-2.69, 2 Ga 2.64
7 Ga 0.2500 0.2500 0.0000  4 Ag 2.63
8 Ga 0.3849 0.1520 0.5368  3 Ag 2.55-2.69, 2 Ga 2.64
9 Ga 0.4731 0.7500 0.7231  2 Ga 2.64, 3 Ag 2.64-2.86
10 Ga 0.5269 0.2500 0.2769  2 Ga 2.64, 3 Ag 2.64-2.86
11 Ga 0.6151 0.8480 0.4632  3 Ag 2.55-2.69, 2 Ga 2.64
12 Ga 0.7500 0.7500 0.0000  4 Ag 2.63
13 Ga 0.8849 0.3480 0.2329  3 Ag 2.55-2.69, 2 Ga 2.64
14 Ga 0.9731 0.2500 0.7231  2 Ga 2.64, 3 Ag 2.64-2.86
15 Ag 0.1373 0.8901 0.0274  5 Ga 2.55-2.64
16 Ag 0.2500 0.7500 0.5000  6 Ga 2.69-2.86
17 Ag 0.3627 0.3901 0.7527  5 Ga 2.55-2.64
18 Ag 0.6373 0.6099 0.2473  5 Ga 2.55-2.64
19 Ag 0.7500 0.2500 0.5000  6 Ga 2.69-2.86
20 Ag 0.8627 0.1099 0.9726  5 Ga 2.55-2.64

10.
Compound: LaGaAg3
Source: Alexandria
Functional: PBE-GGA
Structure: optimized geometry

Properties
energy of formation: -0.26 eV/atom
volume: 221.6 Å³/cell
E above lowest polymorph: 0.009 eV/atom

Cell: 6.7835 6.7835 6.0798 Å, 90.00 90.00 127.61°
Closest atoms and distances in Å follow each position.
Positions (direct):
1 La 0.2493 0.7507 0.7500  4 Ag 3.22-3.26, 4 Ga 3.32-3.36
2 La 0.7507 0.2493 0.2500  4 Ag 3.22-3.26, 4 Ga 3.32-3.36
3 Ga 0.1326 0.8674 0.2500  5 Ag 2.61-2.68
4 Ga 0.8674 0.1326 0.7500  5 Ag 2.61-2.68
5 Ag 0.2506 0.2506 0.0000  2 Ga 2.68, 3 Ag 2.83-2.99
6 Ag 0.2506 0.2506 0.5000  2 Ga 2.68, 3 Ag 2.83-2.99
7 Ag 0.3470 0.6530 0.2500  1 Ga 2.61, 4 Ag 2.83
8 Ag 0.6530 0.3470 0.7500  1 Ga 2.61, 4 Ag 2.83
9 Ag 0.7494 0.7494 0.0000  2 Ga 2.68, 3 Ag 2.83-2.99
10 Ag 0.7494 0.7494 0.5000  2 Ga 2.68, 3 Ag 2.83-2.99

11.
Compound: La3Ga2Ag3
Source: Alexandria
Functional: PBE-GGA
Structure: optimized geometry

Properties
energy of formation: -0.41 eV/atom
volume: 406.4 Å³/cell

Cell: 6.0323 6.0323 15.6500 Å, 90.00 90.00 134.47°
Closest atoms and distances in Å follow each position.
Positions (direct):
1 La 0.0983 0.9017 0.6001  7 Ag 3.23-3.45, 4 Ga 3.25-3.36
2 La 0.0983 0.9017 0.8999  7 Ag 3.23-3.45, 4 Ga 3.25-3.36
3 La 0.3875 0.6125 0.7500  5 Ag 3.21-3.31, 4 Ga 3.42
4 La 0.6125 0.3875 0.2500  5 Ag 3.21-3.31, 4 Ga 3.42
5 La 0.9017 0.0983 0.1001  7 Ag 3.23-3.45, 4 Ga 3.25-3.36
6 La 0.9017 0.0983 0.3999  7 Ag 3.23-3.45, 4 Ga 3.25-3.36
7 Ga 0.1989 0.8011 0.1022  3 Ag 2.68-2.70
8 Ga 0.1989 0.8011 0.3978  3 Ag 2.68-2.70
9 Ga 0.8011 0.1989 0.6022  3 Ag 2.68-2.70
10 Ga 0.8011 0.1989 0.8978  3 Ag 2.68-2.70
11 Ag 0.3237 0.6763 0.2500  2 Ga 2.70
12 Ag 0.3846 0.6154 0.5419  2 Ga 2.68, 1 Ag 2.88
13 Ag 0.3846 0.6154 0.9581  2 Ga 2.68, 1 Ag 2.88
14 Ag 0.6154 0.3846 0.0419  2 Ga 2.68, 1 Ag 2.88
15 Ag 0.6154 0.3846 0.4581  2 Ga 2.68, 1 Ag 2.88
16 Ag 0.6763 0.3237 0.7500  2 Ga 2.70

12.
Compound: LaGaAg3
Source: Alexandria
Functional: PBE-GGA
Structure: optimized geometry

Properties
energy of formation: 0.89 eV/atom
volume: 205.2 Å³/cell
E above lowest polymorph: 1.165 eV/atom

Cell: 5.8983 5.8983 5.8983 Å, 90.00 90.00 90.00°
Closest atoms and distances in Å follow each position.
Positions (direct):
1 La 0.0000 0.0000 0.0000  6 Ag 2.95
2 Ga 0.5000 0.5000 0.5000  12 Ag 4.17
3 Ag 0.0000 0.0000 0.5000  2 La 2.95
4 Ag 0.0000 0.5000 0.0000  2 La 2.95
5 Ag 0.5000 0.0000 0.0000  2 La 2.95